Computed, not measured: an optimized crystal structure of MgScW2 at the GGA-PBEsol level of DFT.

Properties
Crystal system: cubic
Space-group type: No. 216

Structure (POSCAR):
```
MgScW2
1.0
4.5841 0.0000 0.0000
2.2920 3.9699 0.0000
2.2920 1.3233 3.7429
Mg Sc W
1 1 2
direct
0.5000 0.5000 0.5000
0.2500 0.2500 0.2500
0.0000 0.0000 0.0000
0.7500 0.7500 0.7500
```

***

Computed, not measured: an optimized crystal structure of MgScW2 at the GGA-PBEsol level of DFT.

Properties
Crystal system: monoclinic
Space-group type: No. 6

Structure (POSCAR):
```
MgScW2
1.0
2.8084 0.0000 -0.0119
0.0000 4.4497 0.0000
-1.2114 0.0000 5.6708
Mg Sc W
1 1 2
direct
0.5193 0.0000 0.4870
0.2299 0.5000 0.7680
0.9555 0.0000 0.0189
0.7952 0.5000 0.2260
```

***

Computed, not measured: an optimized crystal structure of MgSc2W at the GGA-PBEsol level of DFT.

Properties
Crystal system: monoclinic
Space-group type: No. 8

Structure (POSCAR):
```
MgSc2W
1.0
2.9151 0.0000 0.0000
-1.4575 5.0288 -0.0030
0.0000 -0.6085 5.3497
Mg Sc W
1 2 1
direct
0.7603 0.5207 0.2474
0.0079 0.0158 0.0153
0.2367 0.4733 0.7108
0.4951 0.9902 0.5265
```

***

Computed, not measured: an optimized crystal structure of YMgSc at the GGA-PBEsol level of DFT.

Properties
Distance to the lowest polymorph of the same formula: 2.128 eV/f.u.
Crystal system: cubic
Space-group type: No. 216

Structure (POSCAR):
```
YMgSc
1.0
-4.0770 -1.0554 2.7655
0.5216 -1.9936 4.5975
-1.0614 2.7612 4.0784
Mg Sc Y
1 1 1
direct
0.5000 0.5000 0.5000
0.2500 0.2500 0.2500
0.0000 0.0000 0.0000
```

***

Computed, not measured: an optimized crystal structure of Y2MgSc at the GGA-PBEsol level of DFT.

Properties
Crystal system: monoclinic
Space-group type: No. 6

Structure (POSCAR):
```
Y2MgSc
1.0
-1.4105 -2.2649 1.9869
4.3234 -2.8483 -0.1777
2.9238 4.1850 4.0548
Y Sc Mg
2 1 1
direct
0.9209 0.0000 0.9641
0.5782 0.5000 0.2824
0.3183 0.5000 0.7565
0.1826 0.0000 0.4970
```

***

Computed, not measured: an optimized crystal structure of Y2MgSc at the GGA-PBEsol level of DFT.

Properties
Crystal system: tetragonal
Space-group type: No. 99

Structure (POSCAR):
```
Y2MgSc
1.0
-2.2918 -2.4696 0.9534
2.3658 -2.4765 -0.7282
2.9738 0.4194 8.2348
Y Sc Mg
2 1 1
direct
0.0000 0.0000 0.9852
0.5000 0.5000 0.2687
0.5000 0.5000 0.7297
0.0000 0.0000 0.5165
```

***

Number 1: energy relative to the elements 0.290 eV per atom, total moment 0.00 μB/f.u., density of states at the Fermi level 0.96 states/eV per atom. Number 2: energy relative to the elements 0.300 eV per atom, total moment 0.00 μB/f.u., density of states at the Fermi level 0.76 states/eV per atom. Number 3: energy relative to the elements 0.279 eV per atom, total moment 0.00 μB/f.u., density of states at the Fermi level 0.72 states/eV per atom. Number 4: energy relative to the elements 0.690 eV per atom, total moment 0.00 μB/f.u., density of states at the Fermi level 1.13 states/eV per atom. Number 5: energy relative to the elements 0.036 eV per atom, total moment 0.07 μB/f.u., density of states at the Fermi level 1.66 states/eV per atom. Number 6: energy relative to the elements -0.005 eV per atom, total moment 0.00 μB/f.u., density of states at the Fermi level 1.40 states/eV per atom.